The following is a DFT calculation (PBE with a Hubbard U) of a relaxed structure of Na2Ti3FeP6O24.

Structure (extended XYZ):
```
36
Lattice="4.3163 2.4920 7.3592 -4.3163 2.4920 7.3592 0.0000 -4.9840 7.3592" Properties=species:S:1:pos:R:3 pbc="T T T"
Na 0.0000 0.0000 0.0000
Na 0.0000 0.0000 11.0216
Ti 0.0000 0.0000 7.7879
Ti 0.0000 0.0000 14.2258
Ti 0.0000 0.0000 18.8544
Fe 0.0000 0.0000 3.1796
P -1.8294 -2.4841 9.1770
P -3.0733 0.3415 12.8389
P -1.2366 2.8263 9.1770
P 1.2410 -2.8323 12.8389
P 3.0660 -0.3422 9.1770
P 1.8324 2.4909 12.8389
O -2.7121 -2.3294 10.4409
O -0.9642 -3.7469 9.2208
O -3.7470 -1.0524 12.7575
O -1.5986 0.1445 6.7490
O -3.2957 1.1661 11.5799
O -0.9304 -1.2274 9.0898
O -2.7628 2.7085 9.2208
O 0.6742 -1.4567 6.7490
O 0.6380 -3.4372 11.5799
O -1.5468 0.1233 12.9892
O -0.5978 1.4194 9.0898
O 0.9244 1.3122 6.7490
O -0.8684 -1.3395 15.2784
O 0.6666 -1.4012 12.9892
O 1.5281 -0.1920 9.0898
O -0.6612 3.5135 10.4408
O -0.7259 1.4218 15.2784
O 2.7849 -2.7188 12.7575
O 0.8802 1.2779 12.9892
O 3.3734 -1.1841 10.4408
O 1.5942 -0.0823 15.2784
O 3.7270 1.0384 9.2208
O 0.9620 3.7712 12.7575
O 2.6577 2.2711 11.5799
```

Computed properties:
Calculated total energy, eV per atom: -7.477
Space group: No. 146
Crystal system: trigonal